Density functional theory data (PBE-GGA) for an optimized crystal structure of SmZn3CoCu. Values from VASP.

The structure in Quantum ESPRESSO input format:
```
&SYSTEM
  ibrav = 0, nat = 12, ntyp = 4
/
ATOMIC_SPECIES
Zn 65.41 Zn.upf
Cu 63.55 Cu.upf
Sm 150.36 Sm.upf
Co 58.93 Co.upf
CELL_PARAMETERS angstrom
-4.094 -2.568 2.356
3.561 0.658 6.906
-4.216 4.302 -2.639
ATOMIC_POSITIONS crystal
Zn 0.000 0.742 0.000
Zn 0.500 0.258 0.000
Zn 0.750 0.809 0.618
Zn 0.000 0.258 0.000
Zn 0.250 0.191 0.382
Zn 0.500 0.742 0.000
Cu 0.250 0.962 0.925
Cu 0.750 0.038 0.075
Sm 0.250 0.693 0.386
Sm 0.750 0.307 0.614
Co 0.750 0.578 0.157
Co 0.250 0.422 0.843
```

Output
**Total DFT energy (no corrections)**: -39.55 eV for the cell shown
**Size of the total moment**: 0.00 μB per formula unit


Density functional theory data (PBE-GGA) for an optimized crystal structure of CaIBrN2. Values from VASP.

The structure in Quantum ESPRESSO input format:
```
&SYSTEM
  ibrav = 0, nat = 5, ntyp = 4
/
ATOMIC_SPECIES
Br 79.90 Br.upf
Ca 40.08 Ca.upf
I 126.90 I.upf
N 14.01 N.upf
CELL_PARAMETERS angstrom
4.421 0.000 0.000
0.000 5.811 0.000
0.000 0.000 4.421
ATOMIC_POSITIONS crystal
Br 0.000 0.000 0.000
Ca 0.000 0.500 0.000
I 0.500 0.500 0.500
N 0.000 0.000 0.500
N 0.500 0.000 0.000
```

Output
**Total DFT energy (no corrections)**: -16.09 eV for the cell shown
**Size of the total moment**: 2.56 μB per formula unit
**Energy relative to the lowest polymorph listed for this composition**: 62.8 meV/atom


Q: What is the size of the total moment in the second record?
A: 2.56 μB per formula unit